{"formula": "CaZrSe2Br", "functional": "PBE-GGA", "state": "optimized geometry", "cell": [[-0.978, 4.122, 3.351], [-5.186, -0.004, -1.509], [-1.100, -3.343, 3.791]], "species": ["Se", "Se", "Ca", "Zr", "Br"], "frac_coords": [[0.000, 0.500, 0.000], [0.500, 0.000, 0.000], [0.000, 0.000, 0.000], [0.500, 0.500, 0.500], [0.000, 0.000, 0.500]], "e_above_lowest_polymorph_ev_per_fu": 4.44}

{"formula": "CaZrSe2Br", "functional": "PBE-GGA", "state": "optimized geometry", "cell": [[-5.195, 2.190, 0.690], [-1.958, -4.292, -1.122], [0.104, -1.481, 5.483]], "species": ["Ca", "Se", "Br", "Zr", "Se"], "frac_coords": [[0.500, 0.500, 0.500], [0.500, 0.000, 0.000], [0.000, 0.000, 0.000], [0.000, 0.500, 0.000], [0.000, 0.000, 0.500]], "e_above_lowest_polymorph_ev_per_fu": 6.54}

{"formula": "CaZrSe2Br", "functional": "PBE-GGA", "state": "optimized geometry", "cell": [[-0.348, -4.858, -2.025], [2.472, 1.641, -4.361], [4.600, -1.225, 2.146]], "species": ["Se", "Zr", "Se", "Ca", "Br"], "frac_coords": [[0.000, 0.500, 0.000], [0.000, 0.000, 0.000], [0.500, 0.000, 0.000], [0.500, 0.500, 0.500], [0.000, 0.000, 0.500]], "e_above_lowest_polymorph_ev_per_fu": 0.00}

{"formula": "CaSiBr6", "functional": "PBE-GGA", "state": "optimized geometry", "cell": [[-5.007, -2.245, -4.963], [7.349, -0.465, -0.723], [-0.764, -5.033, 4.339]], "species": ["Si", "Br", "Br", "Br", "Br", "Br", "Ca", "Br"], "frac_coords": [[0.500, 0.500, 0.500], [0.577, 0.843, 0.712], [0.728, 0.728, 0.275], [0.843, 0.577, 0.712], [0.272, 0.272, 0.725], [0.423, 0.157, 0.288], [0.000, 0.000, 0.000], [0.157, 0.423, 0.288]]}

{"formula": "Ca3SiBr3", "functional": "PBE-GGA", "state": "optimized geometry", "cell": [[9.816, 0.000, -3.471], [-4.908, 8.501, -3.471], [0.000, 0.000, 10.412]], "species": ["Si", "Br", "Ca", "Br", "Ca", "Ca", "Ca", "Si", "Br", "Ca", "Br", "Si", "Br", "Br", "Ca", "Br", "Si", "Ca", "Ca", "Br", "Ca", "Br", "Br", "Br", "Ca", "Ca", "Br", "Ca"], "frac_coords": [[0.000, 0.000, 0.250], [0.500, 0.500, 0.250], [0.994, 0.497, 0.247], [0.750, 0.000, 0.500], [0.753, 0.750, 0.247], [0.506, 0.253, 0.003], [0.747, 0.253, 0.750], [0.750, 0.500, 0.000], [0.250, 0.750, 0.250], [0.753, 0.003, 0.006], [0.499, 0.750, 0.000], [0.500, 0.250, 0.500], [0.000, 0.750, 0.501], [0.001, 0.500, 0.750], [0.250, 0.247, 0.253], [0.500, 0.999, 0.750], [0.750, 0.250, 0.250], [0.747, 0.494, 0.497], [0.250, 0.003, 0.497], [0.250, 0.501, 0.500], [0.997, 0.750, 0.003], [0.000, 0.250, 0.000], [0.250, 0.000, 0.999], [0.250, 0.250, 0.750], [0.997, 0.247, 0.494], [0.503, 0.497, 0.750], [0.750, 0.750, 0.750], [0.503, 0.006, 0.253]]}

{"formula": "CaSiBr", "functional": "PBE-GGA", "state": "optimized geometry", "cell": [[5.177, 0.000, 0.000], [2.588, 4.483, 0.000], [2.588, 1.494, 4.227]], "species": ["Si", "Ca", "Br"], "frac_coords": [[0.000, 0.000, 0.000], [0.250, 0.250, 0.250], [0.500, 0.500, 0.500]]}

no.,E_form (uncorrected) (eV/atom),mass density (g/cm3)
1,-0.2517,4.1
2,0.1694,3.9
3,-1.1387,4.2
4,-1.0176,3.2
5,-1.3904,3.0
6,-0.0753,2.5